Sr2VClO4 | PBE+U | relaxed Values from VASP.

Geometry as Quantum ESPRESSO input:
```
&SYSTEM
  ibrav = 0, nat = 32, ntyp = 4
/
ATOMIC_SPECIES
Sr 87.62 Sr.upf
V 50.94 V.upf
Cl 35.45 Cl.upf
O 16.00 O.upf
CELL_PARAMETERS angstrom
6.670 0.000 0.000
0.000 7.571 0.000
0.000 0.000 11.666
ATOMIC_POSITIONS crystal
Sr 0.127 0.250 0.000
Sr 0.127 0.250 0.500
Sr 0.362 0.533 0.250
Sr 0.362 0.967 0.750
Sr 0.638 0.033 0.250
Sr 0.638 0.467 0.750
Sr 0.873 0.750 0.000
Sr 0.873 0.750 0.500
V 0.370 0.750 0.000
V 0.370 0.750 0.500
V 0.630 0.250 0.000
V 0.630 0.250 0.500
Cl 0.002 0.203 0.750
Cl 0.002 0.297 0.250
Cl 0.998 0.703 0.750
Cl 0.998 0.797 0.250
O 0.213 0.573 0.030
O 0.213 0.573 0.470
O 0.213 0.927 0.530
O 0.213 0.927 0.970
O 0.475 0.225 0.620
O 0.475 0.225 0.880
O 0.475 0.275 0.120
O 0.475 0.275 0.380
O 0.525 0.725 0.620
O 0.525 0.725 0.880
O 0.525 0.775 0.120
O 0.525 0.775 0.380
O 0.787 0.073 0.030
O 0.787 0.073 0.470
O 0.787 0.427 0.530
O 0.787 0.427 0.970
```

Properties
total magnetic moment = 0.000 μB per atom
density of states at the Fermi level = 0.000 states/eV/f.u.
final energy = -6.690 eV/atom